Material: FeSnF4
Method: DFT, PBE+U
State: optimized geometry

Output
The value obtained for the total energy is -0.3797 Ry per atom. As for the calculated volume: 175 Å³/cell. The size of the total moment comes out at 4.0 μB/f.u.

a = 5.559 Å, b = 5.661 Å, c = 5.571 Å
α = 90.00°, β = 92.35°, γ = 90.00°
Space group P2_1/c (No. 14)
Inequivalent atoms, fractional coordinates:
1 Fe 0.000 0.000 0.000 (multiplicity 2)
2 Sn 0.500 0.000 0.500 (multiplicity 2)
3 F 0.149 0.188 0.706 (multiplicity 4)
4 F 0.317 0.644 0.622 (multiplicity 4)